Record 1
CoN (PBE-GGA, optimized geometry); uncorrected formation energy = 0.2326 eV/atom; space group = No. 136; energy above the most stable polymorph in this dataset = 127 meV per atom
1.0
-1.052 -0.794 -5.223
5.249 0.448 -1.125
0.313 -2.775 0.358
N Co
4 4
Cartesian
0.933 -0.403 -3.932
0.933 -1.451 -0.995
3.577 -1.669 -4.994
3.264 0.057 -2.416
2.775 -0.229 -4.197
0.121 -1.981 -4.383
1.422 -0.117 -2.150
4.389 -1.140 -1.606

Record 2
Tb2Nd3Sm5 (PBE-GGA, optimized geometry); space group = No. 15; energy above the most stable polymorph in this dataset = 0 meV per atom
1.0
8.710 1.788 -4.127
0.380 8.811 -4.168
-1.997 -2.238 10.852
Sm Tb Nd
10 4 6
Cartesian
5.148 8.151 -3.337
3.496 6.209 -0.146
-0.604 5.621 2.588
6.190 5.226 1.988
4.609 3.368 5.365
2.484 4.993 -2.809
3.597 2.152 2.702
7.697 2.740 -0.032
0.903 3.135 0.567
1.945 0.210 5.893
1.794 8.519 -2.243
5.299 -0.158 4.799
2.843 5.603 3.102
4.250 2.758 -0.546
6.044 4.872 -2.268
-0.043 6.354 -0.632
0.459 6.899 5.385
6.634 1.462 -2.830
7.136 2.007 3.187
1.049 3.489 4.824

Record 3
PmB4W (PBE-GGA, optimized geometry); space group = No. 55; total DFT energy (no corrections) = -7.930 eV/atom
1.0
3.683 0.000 0.000
0.000 6.114 0.000
0.000 0.000 11.823
B W Pm
16 4 4
Cartesian
1.842 1.328 9.632
1.842 3.209 9.560
1.842 2.905 2.263
1.842 1.729 3.721
1.842 3.744 11.275
1.842 2.370 0.548
1.842 4.384 8.102
1.842 5.280 0.382
1.842 5.962 3.649
1.842 0.152 8.174
1.842 0.687 6.459
1.842 2.223 5.530
1.842 0.834 11.441
1.842 4.786 2.191
1.842 3.891 6.293
1.842 5.426 5.364
0.000 5.325 6.900
0.000 0.789 4.923
0.000 2.268 10.834
0.000 3.845 0.989
0.000 3.824 4.138
0.000 5.347 10.049
0.000 2.290 7.686
0.000 0.767 1.774

Record 4
AcGa2Ru2 (PBE-GGA, optimized geometry); space group = No. 139; total DFT energy (no corrections) = -6.154 eV/atom
1.0
-1.252 4.347 -0.085
-3.617 -0.992 2.530
5.033 -0.851 2.816
Ru Ac Ga
2 1 2
Cartesian
-0.510 -0.083 3.285
0.673 2.587 1.977
0.000 0.000 0.000
1.873 0.596 2.911
-1.709 1.908 2.351